A relaxed PrSm5HoTm2 crystal, computed with PBE-GGA.

Geometry as POSCAR:
```
PrSm5HoTm2
1.0
-3.767 3.979 1.273
-3.778 -8.865 4.102
5.218 2.012 9.155
Pr Sm Ho Tm
2 10 2 4
direct
0.797 0.595 0.509
0.203 0.405 0.009
0.393 0.787 0.025
0.718 0.436 0.806
0.479 0.958 0.741
0.298 0.596 0.704
0.983 0.966 0.524
0.607 0.213 0.525
0.282 0.564 0.306
0.521 0.042 0.241
0.702 0.404 0.204
0.017 0.034 0.024
0.588 0.176 0.956
0.412 0.824 0.456
0.884 0.768 0.818
0.109 0.218 0.739
0.116 0.232 0.318
0.891 0.782 0.239
```

V: 608.82 Å³ per cell
magnetization: 0.00 μB per cell
energy of formation from the pure elements: 0.151 eV/atom